Record 1
Computed, not measured: a geometry-optimized ZnCdB structure at the PBE level of DFT.

```
ZnCdB
1.0
5.898 0.000 0.000
0.000 5.898 0.000
0.000 0.000 5.898
Zn Cd B
4 4 4
direct
0.000 0.000 0.000
0.000 0.500 0.500
0.500 0.000 0.500
0.500 0.500 0.000
0.250 0.250 0.750
0.250 0.750 0.250
0.750 0.250 0.250
0.750 0.750 0.750
0.000 0.000 0.500
0.000 0.500 0.000
0.500 0.000 0.000
0.500 0.500 0.500
```

As for the total energy: -0.068 Ha/atom. As for the volume: 17.1 Å³/atom.

Record 2
Computed, not measured: a geometry-optimized NaLuMgTe3 structure at the PBE level of DFT.

```
NaLuMgTe3
1.0
14.875 0.000 0.000
0.000 4.367 0.000
0.000 0.000 11.795
Na Lu Mg Te
4 4 4 12
direct
0.233 0.250 0.060
0.267 0.750 0.560
0.733 0.250 0.440
0.767 0.750 0.940
0.019 0.250 0.348
0.481 0.750 0.848
0.519 0.250 0.152
0.981 0.750 0.652
0.015 0.750 0.100
0.485 0.250 0.600
0.515 0.750 0.400
0.985 0.250 0.900
0.103 0.750 0.883
0.109 0.250 0.575
0.146 0.750 0.261
0.354 0.250 0.761
0.391 0.750 0.075
0.397 0.250 0.383
0.603 0.750 0.617
0.609 0.250 0.925
0.646 0.750 0.239
0.854 0.250 0.739
0.891 0.750 0.425
0.897 0.250 0.117
```

As for the total energy: -0.143 Ha/atom. As for the volume: 31.9 Å³/atom.

Record 3
Computed, not measured: a geometry-optimized LaPm structure at the PBE level of DFT.

```
LaPm
1.0
6.617 0.000 0.000
0.000 6.617 0.000
0.000 0.000 6.617
La Pm
4 4
direct
0.000 0.000 0.000
0.000 0.500 0.500
0.500 0.000 0.500
0.500 0.500 0.000
0.000 0.000 0.500
0.000 0.500 0.000
0.500 0.000 0.000
0.500 0.500 0.500
```

As for the total energy: -0.156 Ha/atom. As for the volume: 36.2 Å³/atom. The energy of formation is 584 meV per atom.

Record 4
Computed, not measured: a geometry-optimized SrLuCuSe2S structure at the PBE level of DFT.

```
SrLuCuSe2S
1.0
2.005 -6.705 0.000
2.005 6.705 0.000
0.000 0.000 10.164
Sr Lu Cu Se S
2 2 2 4 2
direct
0.239 0.761 0.750
0.761 0.239 0.250
0.500 0.500 0.000
0.500 0.500 0.500
0.026 0.974 0.250
0.974 0.026 0.750
0.141 0.859 0.061
0.141 0.859 0.439
0.859 0.141 0.561
0.859 0.141 0.939
0.430 0.570 0.250
0.570 0.430 0.750
```

As for the total energy: -0.187 Ha/atom. As for the volume: 22.8 Å³/atom.

Record 5
Computed, not measured: a geometry-optimized TbCu2P4Pb structure at the PBE level of DFT.

```
TbCu2P4Pb
1.0
3.724 0.000 0.000
0.000 3.724 0.000
0.000 0.000 10.391
Tb Cu P Pb
1 2 4 1
direct
0.000 0.000 0.000
0.000 0.500 0.746
0.500 0.000 0.746
0.000 0.000 0.606
0.000 0.500 0.217
0.500 0.000 0.217
0.500 0.500 0.891
0.500 0.500 0.453
```

As for the total energy: -0.185 Ha/atom. As for the volume: 18.0 Å³/atom.

Record 6
Computed, not measured: a geometry-optimized HoLuI2O2 structure at the PBE level of DFT.

```
HoLuI2O2
1.0
9.982 -1.997 0.000
9.982 1.997 0.000
-0.558 0.000 7.571
Ho Lu I O
2 2 4 4
direct
0.197 0.197 0.114
0.803 0.803 0.886
0.198 0.198 0.615
0.802 0.802 0.385
0.079 0.079 0.347
0.398 0.398 0.150
0.602 0.602 0.850
0.921 0.921 0.653
0.254 0.254 0.870
0.255 0.255 0.382
0.745 0.745 0.618
0.746 0.746 0.130
```

As for the total energy: -0.236 Ha/atom. As for the volume: 25.2 Å³/atom.

Record 7
Computed, not measured: a geometry-optimized DyErFe2Pb structure at the PBE level of DFT.

```
DyErFe2Pb
1.0
3.789 0.000 0.000
0.000 3.912 0.000
0.000 0.000 14.209
Dy Er Fe Pb
2 2 4 2
direct
0.000 0.000 0.000
0.000 0.500 0.500
0.000 0.000 0.277
0.000 0.500 0.777
0.500 0.000 0.432
0.500 0.000 0.844
0.500 0.500 0.344
0.500 0.500 0.932
0.500 0.000 0.639
0.500 0.500 0.139
```

As for the total energy: -0.224 Ha/atom. As for the volume: 21.1 Å³/atom.

Record 8
Computed, not measured: a geometry-optimized ErCuRe structure at the PBE level of DFT.

```
ErCuRe
1.0
6.416 0.000 0.000
0.000 6.416 0.000
0.000 0.000 6.416
Er Cu Re
4 4 4
direct
0.000 0.000 0.000
0.000 0.500 0.500
0.500 0.000 0.500
0.500 0.500 0.000
0.250 0.250 0.750
0.250 0.750 0.250
0.750 0.250 0.250
0.750 0.750 0.750
0.250 0.250 0.250
0.250 0.750 0.750
0.750 0.250 0.750
0.750 0.750 0.250
```

As for the total energy: -0.201 Ha/atom. As for the volume: 22.0 Å³/atom. The energy of formation is 1419 meV per atom.

Record 9
Computed, not measured: a geometry-optimized K2AsAuCl6 structure at the PBE level of DFT.

```
K2AsAuCl6
1.0
0.000 5.148 5.148
5.148 0.000 5.148
5.148 5.148 0.000
K As Au Cl
2 1 1 6
direct
0.250 0.250 0.250
0.750 0.750 0.750
0.000 0.000 0.000
0.500 0.500 0.500
0.243 0.243 0.757
0.243 0.757 0.243
0.243 0.757 0.757
0.757 0.243 0.243
0.757 0.243 0.757
0.757 0.757 0.243
```

As for the total energy: -0.116 Ha/atom. As for the volume: 27.3 Å³/atom.

Record 10
Computed, not measured: a geometry-optimized HfZrOs2 structure at the PBE level of DFT.

```
HfZrOs2
1.0
6.486 0.000 0.000
0.000 6.486 0.000
0.000 0.000 6.486
Hf Zr Os
4 4 8
direct
0.000 0.000 0.000
0.000 0.500 0.500
0.500 0.000 0.500
0.500 0.500 0.000
0.250 0.250 0.250
0.250 0.750 0.750
0.750 0.250 0.750
0.750 0.750 0.250
0.000 0.000 0.500
0.000 0.500 0.000
0.250 0.250 0.750
0.250 0.750 0.250
0.500 0.000 0.000
0.500 0.500 0.500
0.750 0.250 0.250
0.750 0.750 0.750
```

As for the total energy: -0.379 Ha/atom. As for the volume: 17.1 Å³/atom. The energy of formation is -81 meV per atom.

Record 11
Computed, not measured: a geometry-optimized HoCuGeSeS2 structure at the PBE level of DFT.

```
HoCuGeSeS2
1.0
1.905 -6.324 0.000
1.905 6.324 0.000
0.000 0.000 10.464
Ho Cu Ge Se S
2 2 2 2 4
direct
0.000 0.000 0.000
0.000 0.000 0.500
0.473 0.527 0.750
0.527 0.473 0.250
0.215 0.785 0.250
0.785 0.215 0.750
0.099 0.901 0.750
0.901 0.099 0.250
0.360 0.640 0.577
0.360 0.640 0.923
0.640 0.360 0.077
0.640 0.360 0.423
```

As for the total energy: -0.184 Ha/atom. As for the volume: 21.0 Å³/atom.

Record 12
Computed, not measured: a geometry-optimized Li2ZnGaAg2Au2 structure at the PBE level of DFT.

```
Li2ZnGaAg2Au2
1.0
4.473 0.000 0.000
0.000 4.473 0.000
0.000 0.000 6.318
Li Zn Ga Ag Au
2 1 1 2 2
direct
0.000 0.000 0.000
0.500 0.500 0.500
0.000 0.000 0.500
0.500 0.500 0.000
0.000 0.500 0.749
0.500 0.000 0.251
0.000 0.500 0.250
0.500 0.000 0.750
```

As for the total energy: -0.106 Ha/atom. As for the volume: 15.8 Å³/atom.

Record 13
Computed, not measured: a geometry-optimized TlCuTe3W structure at the PBE level of DFT.

```
TlCuTe3W
1.0
1.880 -8.104 0.000
1.880 8.104 0.000
0.000 0.000 10.340
Tl Cu Te W
2 2 6 2
direct
0.247 0.753 0.750
0.753 0.247 0.250
0.462 0.538 0.250
0.538 0.462 0.750
0.072 0.928 0.250
0.376 0.624 0.042
0.376 0.624 0.458
0.624 0.376 0.542
0.624 0.376 0.958
0.928 0.072 0.750
0.000 0.000 0.000
0.000 0.000 0.500
```

As for the total energy: -0.171 Ha/atom. As for the volume: 26.3 Å³/atom.

Record 14
Computed, not measured: a geometry-optimized Ba2LiPtN2 structure at the PBE level of DFT.

```
Ba2LiPtN2
1.0
3.853 0.000 0.000
0.000 4.165 0.000
0.000 0.000 7.977
Ba Li Pt N
2 1 1 2
direct
0.000 0.000 0.247
0.000 0.000 0.753
0.500 0.500 0.000
0.500 0.500 0.500
0.000 0.500 0.500
0.500 0.000 0.000
```

As for the total energy: -0.192 Ha/atom. As for the volume: 21.3 Å³/atom.

Record 15
Computed, not measured: a geometry-optimized MgZnTeO structure at the PBE level of DFT.

```
MgZnTeO
1.0
3.710 0.000 0.000
0.000 16.721 0.000
0.000 0.000 5.219
Mg Zn Te O
4 4 4 4
direct
0.000 0.053 0.250
0.000 0.947 0.750
0.500 0.447 0.750
0.500 0.553 0.250
0.000 0.409 0.250
0.000 0.591 0.750
0.500 0.091 0.750
0.500 0.909 0.250
0.000 0.190 0.750
0.000 0.810 0.250
0.500 0.310 0.250
0.500 0.690 0.750
0.000 0.500 0.000
0.000 0.500 0.500
0.500 0.000 0.000
0.500 0.000 0.500
```

As for the total energy: -0.131 Ha/atom. As for the volume: 20.2 Å³/atom.

Record 16
Computed, not measured: a geometry-optimized Ga2Cu2Ir structure at the PBE level of DFT.

```
Ga2Cu2Ir
1.0
3.612 0.000 0.000
0.000 3.612 0.000
0.000 0.000 11.069
Ga Cu Ir
4 4 2
direct
0.000 0.500 0.250
0.000 0.500 0.750
0.500 0.000 0.250
0.500 0.000 0.750
0.000 0.000 0.102
0.000 0.000 0.898
0.500 0.500 0.398
0.500 0.500 0.602
0.000 0.000 0.500
0.500 0.500 0.000
```

As for the total energy: -0.152 Ha/atom. As for the volume: 14.4 Å³/atom.

Record 17
Computed, not measured: a geometry-optimized HoTmFe8B2 structure at the PBE level of DFT.

```
HoTmFe8B2
1.0
5.034 0.000 0.000
-2.517 4.360 0.000
0.000 0.000 7.018
Ho Tm Fe B
1 1 8 2
direct
0.000 0.000 0.000
0.000 0.000 0.500
0.000 0.500 0.214
0.000 0.500 0.786
0.333 0.667 0.500
0.500 0.000 0.214
0.500 0.000 0.786
0.500 0.500 0.214
0.500 0.500 0.786
0.667 0.333 0.500
0.333 0.667 0.000
0.667 0.333 0.000
```

As for the total energy: -0.281 Ha/atom. As for the volume: 12.8 Å³/atom.

Record 18
Computed, not measured: a geometry-optimized Gd2Tm3Ga3 structure at the PBE level of DFT.

```
Gd2Tm3Ga3
1.0
6.571 0.000 0.000
0.000 4.787 0.000
-1.991 0.000 6.402
Gd Tm Ga
2 3 3
direct
0.000 0.000 0.000
0.324 0.500 0.795
0.019 0.000 0.508
0.514 0.000 0.493
0.723 0.500 0.223
0.208 0.500 0.311
0.516 0.000 0.013
0.822 0.500 0.693
```

As for the total energy: -0.161 Ha/atom. As for the volume: 25.2 Å³/atom.

Record 19
Computed, not measured: a geometry-optimized LiYFeSn structure at the PBE level of DFT.

```
LiYFeSn
1.0
6.789 0.000 0.000
0.000 6.789 0.000
0.000 0.000 6.789
Li Y Fe Sn
4 4 4 4
direct
0.000 0.000 0.000
0.000 0.500 0.500
0.500 0.000 0.500
0.500 0.500 0.000
0.250 0.250 0.250
0.250 0.750 0.750
0.750 0.250 0.750
0.750 0.750 0.250
0.250 0.250 0.750
0.250 0.750 0.250
0.750 0.250 0.250
0.750 0.750 0.750
0.000 0.000 0.500
0.000 0.500 0.000
0.500 0.000 0.000
0.500 0.500 0.500
```

As for the total energy: -0.193 Ha/atom. As for the volume: 19.6 Å³/atom.

Record 20
Computed, not measured: a geometry-optimized ScAlFeAu structure at the PBE level of DFT.

```
ScAlFeAu
1.0
6.439 0.000 0.000
0.000 6.439 0.000
0.000 0.000 6.439
Sc Al Fe Au
4 4 4 4
direct
0.000 0.000 0.000
0.000 0.500 0.500
0.500 0.000 0.500
0.500 0.500 0.000
0.250 0.250 0.250
0.250 0.750 0.750
0.750 0.250 0.750
0.750 0.750 0.250
0.000 0.000 0.500
0.000 0.500 0.000
0.500 0.000 0.000
0.500 0.500 0.500
0.250 0.250 0.750
0.250 0.750 0.250
0.750 0.250 0.250
0.750 0.750 0.750
```

As for the total energy: -0.207 Ha/atom. As for the volume: 16.7 Å³/atom.